(1)
A relaxed structure of Nb2Ga2MoRu5. Source: Alexandria via LeMat-Bulk, functional PBE-GGA.

Computed properties:
Crystal system   tetragonal

Geometry as extended XYZ:
```
20
Lattice="-1.7892 -2.0198 -2.2593 -1.0747 -6.5269 6.6859 -8.0273 4.0892 2.7016" Properties=species:S:1:pos:R:3 pbc="T T T"
Nb -2.0886 -3.6789 4.9429
Nb -7.0134 1.2412 4.4447
Nb -2.8287 0.2353 2.0298
Nb -6.2732 -2.6730 7.3577
Ga -5.2035 1.7259 2.5780
Ga -3.8985 -4.1636 6.8096
Ga -7.6557 -0.5620 6.5654
Ga -1.4462 -1.8757 2.8221
Mo 0.0000 0.0000 0.0000
Mo -4.5510 -1.2189 4.6938
Ru -1.4826 -2.1314 0.3387
Ru -9.4086 -2.3260 6.7896
Ru -7.3592 1.9553 1.3392
Ru -5.2894 -3.7294 4.7820
Ru -3.5320 -6.4127 5.7891
Ru -5.6018 -0.7280 2.3463
Ru -7.1079 -1.7099 4.4168
Ru -3.7832 -2.7476 2.7115
Ru -1.4320 -4.2733 2.2133
Ru -4.9083 1.0347 0.2211
```

(2)
A relaxed structure of ScNbGaMo. Source: Alexandria via LeMat-Bulk, functional PBE-GGA.

Computed properties:
Crystal system   cubic

Geometry as extended XYZ:
```
4
Lattice="-0.9035 4.3421 -1.3146 -2.8013 0.7928 -3.5948 -4.2038 1.8003 0.6966" Properties=species:S:1:pos:R:3 pbc="T T T"
Sc -3.9543 3.4676 -2.1064
Mo -5.9314 5.2014 -3.1596
Nb 0.0000 0.0000 0.0000
Ga -1.9771 1.7338 -1.0532
```

(3)
A relaxed structure of Ti5Nb2Ga2Mo. Source: Alexandria via LeMat-Bulk, functional PBE-GGA.

Computed properties:
Crystal system   tetragonal

Geometry as extended XYZ:
```
20
Lattice="-2.8000 -2.0490 1.1092 0.2097 -4.8324 -8.3976 6.1952 -6.3912 3.8325" Properties=species:S:1:pos:R:3 pbc="T T T"
Ti -0.8479 -2.4759 -0.7327
Ti 4.4527 -10.7967 -2.7231
Ti 3.6291 -6.5943 2.9609
Ti 1.3304 -7.0311 -3.6488
Ti -0.0242 -6.6783 -6.4168
Ti 2.2744 -6.2415 0.1930
Ti 3.0031 -8.2566 -1.6900
Ti 0.6017 -5.0160 -1.7659
Ti -1.2952 -3.4407 -3.6442
Ti 1.6976 -4.2201 2.4709
Nb 1.1875 -4.3134 -4.9704
Nb 5.2174 -6.9102 0.4054
Nb 2.0858 -2.9321 -0.1511
Nb 4.3190 -8.2915 -4.4140
Ga 3.9148 -4.6276 1.3338
Ga 2.4901 -6.5960 -5.8989
Ga 5.5363 -8.6085 -1.9267
Ga 0.8685 -2.6151 -2.6384
Mo 0.0000 0.0000 0.0000
Mo 3.2024 -5.6118 -2.2825
```

(4)
A relaxed structure of Zr2NbGaMo. Source: Alexandria via LeMat-Bulk, functional PBE-GGA.

Computed properties:
Crystal system   tetragonal

Geometry as extended XYZ:
```
5
Lattice="-3.8981 2.9993 -0.0344 -2.8768 -3.7394 -0.0503 -0.0592 -0.0206 4.9182" Properties=species:S:1:pos:R:3 pbc="T T T"
Mo -3.4171 -0.3804 2.4167
Ga 0.0000 0.0000 0.0000
Nb -1.4384 -1.8697 -0.0252
Zr -0.0296 -0.0103 2.4591
Zr -1.9490 1.4997 -0.0172
```

(5)
A relaxed structure of ZrNbGaMo. Source: Alexandria via LeMat-Bulk, functional PBE-GGA.

Computed properties:
Crystal system   cubic

Geometry as extended XYZ:
```
4
Lattice="-4.4678 -0.9815 -0.8906 -2.2993 -3.0352 2.6868 -3.3361 1.5039 2.8856" Properties=species:S:1:pos:R:3 pbc="T T T"
Mo -7.5775 -1.8847 3.5113
Ga -2.5258 -0.6282 1.1704
Nb -5.0516 -1.2564 2.3409
Zr 0.0000 0.0000 0.0000
```

These records have magnetization values of 0.0 0.0 0.0 0.0 0.0 μB/cell, in the order they appear.
These records have raw total energy values of -8.3866 -7.7652 -7.7555 -7.1517 -8.3013 eV per atom, in the order they appear.
These records have formation energy from the elements values of -46 -200 -106 1053 -182 meV per atom, in the order they appear.